Entry 1:
Compound: Mn3Mo
Source: the Alexandria database
Functional: PBE-GGA
Structure: optimized geometry

Summary:
**Space-group type**: No. 221
**Formation enthalpy at 0 K**: 0.188 eV/atom

abc: 3.651 3.651 3.651
angles: 90.00 90.00 90.00
Sites, in units of the cell vectors:
Mn  0.000  0.000  0.000
Mn  0.000  0.500  0.500
Mn  0.500  0.000  0.500
Mo  0.500  0.500  0.000



Entry 2:
Compound: CaAl6Rh
Source: the Alexandria database
Functional: PBE-GGA
Structure: optimized geometry

Summary:
**Space-group type**: No. 166
**Energy above the most stable polymorph in this dataset**: 0.153 eV/atom
**Formation enthalpy at 0 K**: -0.260 eV/atom

abc: 4.373 4.373 9.370
angles: 76.51 76.51 60.00
Sites, in units of the cell vectors:
Ca  0.500  0.500  0.500
Al  0.635  0.635  0.094
Al  0.095  0.095  0.714
Al  0.905  0.905  0.286
Al  0.365  0.365  0.906
Al  0.255  0.255  0.234
Al  0.745  0.745  0.766
Rh  0.000  0.000  0.000



Entry 3:
Compound: LiNiSb2I
Source: the Alexandria database
Functional: PBE-GGA
Structure: optimized geometry

Summary:
**Space-group type**: No. 123
**Energy above the most stable polymorph in this dataset**: 0.000 eV/atom

abc: 4.701 4.701 9.498
angles: 90.00 90.00 90.00
Sites, in units of the cell vectors:
I  0.000  0.000  0.500
Sb  0.000  0.500  0.000
Sb  0.500  0.000  0.000
Li  0.500  0.500  0.500
Ni  0.000  0.000  0.000



Entry 4:
Compound: LiSiAu3
Source: the Alexandria database
Functional: PBE-GGA
Structure: optimized geometry

Summary:
**Space-group type**: No. 2
**Energy above the most stable polymorph in this dataset**: 0.000 eV/atom

abc: 5.005 5.226 7.331
angles: 72.47 79.93 84.03
Sites, in units of the cell vectors:
Li  0.391  0.375  0.001
Li  0.020  0.813  0.614
Si  0.680  0.797  0.077
Si  0.731  0.392  0.537
Au  0.250  0.354  0.459
Au  0.927  0.220  0.844
Au  0.548  0.862  0.413
Au  0.863  0.326  0.201
Au  0.161  0.835  0.156
Au  0.485  0.969  0.771